DFT (PBE-GGA) results for an optimized crystal structure of AcIn4Pt.

Cell and atoms, written as POSCAR:
```
AcIn4Pt
1.0
8.4775 0.0000 0.0000
0.0000 4.5743 0.0000
0.0000 0.0000 7.9634
Ac In Pt
2 8 2
Direct
0.2500 0.0000 0.1237 Ac
0.7500 0.0000 0.8763 Ac
0.0000 0.0000 0.5000 In
0.0618 0.5000 0.8132 In
0.2500 0.5000 0.4504 In
0.4382 0.5000 0.8132 In
0.5000 0.0000 0.5000 In
0.5618 0.5000 0.1868 In
0.7500 0.5000 0.5496 In
0.9382 0.5000 0.1868 In
0.2500 0.0000 0.7294 Pt
0.7500 0.0000 0.2706 Pt
```

## Properties
The total magnetization is 0.00 μB/f.u. Its formation energy is -0.4519 eV per atom.